(1)
Here is Li7Fe3Si2O12 at its PBEsol-relaxed geometry from the Alexandria database. Energies are from meta-GGA SCAN.

```
Li7Fe3Si2O12
1.0
-2.5496 -3.8644 1.1682
1.7683 0.4490 -4.4125
8.1174 -3.2268 3.7866
Li Fe Si O
7 3 2 12
Direct
0.7425 0.7425 0.2516
0.5828 0.9084 0.7484
0.5000 0.5000 0.5000
0.0916 0.4172 0.2516
0.2575 0.2575 0.7484
0.9084 0.5828 0.7484
0.4172 0.0916 0.2516
0.0000 0.0000 0.0000
0.3341 0.6659 0.0000
0.6659 0.3341 0.0000
0.1667 0.8333 0.5000
0.8333 0.1667 0.5000
0.9042 0.9042 0.6061
0.4646 0.8333 0.3939
0.7043 0.0386 0.1128
0.6291 0.6291 0.8844
0.2957 0.9614 0.8872
0.1667 0.5354 0.6061
0.3709 0.3709 0.1156
0.0958 0.0958 0.3939
0.0386 0.7043 0.1128
0.8333 0.4646 0.3939
0.9614 0.2957 0.8872
0.5354 0.1667 0.6061
```

Results
**Spin magnetization**: 3.000 μB per formula unit
**Raw formation energy**: -2.29 eV/atom

---

(2)
Here is CdIr3 at its PBEsol-relaxed geometry from the Alexandria database. Energies are from meta-GGA SCAN.

```
CdIr3
1.0
-1.3323 1.7356 -1.6894
-0.4817 -4.3698 -1.8479
-3.8128 -0.0033 3.0035
Ir Cd
3 1
Direct
0.7582 0.5164 0.2690
0.5000 0.0000 0.5000
0.2418 0.4836 0.7310
0.0000 0.0000 0.0000
```

Results
**Spin magnetization**: 0.000 μB per formula unit
**ΔH_f (0 K)**: 0.18 eV/atom

---

(3)
Here is MnAl2Cr at its PBEsol-relaxed geometry from the Alexandria database. Energies are from meta-GGA SCAN.

```
MnAl2Cr
1.0
-0.7358 -2.8723 -2.9406
-0.8303 -3.9435 1.0945
-3.8499 -1.5389 -0.4987
Cr Mn Al
1 1 2
Direct
0.0000 0.0000 0.0000
0.5000 0.5000 0.5000
0.2500 0.2500 0.2500
0.7500 0.7500 0.7500
```

Results
**Spin magnetization**: 4.764 μB per formula unit
**ΔH_f (0 K)**: -0.37 eV/atom

---

(4)
Here is Ba2ScCl at its PBEsol-relaxed geometry from the Alexandria database. Energies are from meta-GGA SCAN.

```
Ba2ScCl
1.0
3.6740 0.0000 0.0000
0.0000 6.0880 0.0000
0.0000 0.0000 6.0880
Sc Ba Cl
1 2 1
Direct
0.5000 0.0000 0.0000
0.0000 0.0000 0.5000
0.0000 0.5000 0.0000
0.5000 0.5000 0.5000
```

Results
**Spin magnetization**: 0.030 μB per formula unit
**E above lowest polymorph**: 0.0 meV per atom
**Raw formation energy**: -0.48 eV/atom

---

(5)
Here is SrZnMo2 at its PBEsol-relaxed geometry from the Alexandria database. Energies are from meta-GGA SCAN.

```
SrZnMo2
1.0
2.7307 0.0000 0.0000
0.0000 5.0901 0.0352
-1.3654 -1.6100 5.2808
Mo Sr Zn
2 1 1
Direct
0.7795 0.7854 0.5589
0.2205 0.2146 0.4411
0.0000 0.5000 0.0000
0.5000 0.0000 0.0000
```

Results
**Spin magnetization**: 0.000 μB per formula unit
**ΔH_f (0 K)**: 0.76 eV/atom

---

(6)
Here is Ca2FeSe at its PBEsol-relaxed geometry from the Alexandria database. Energies are from meta-GGA SCAN.

```
Ca2FeSe
1.0
3.5775 0.0000 0.0000
0.0000 3.5775 0.0000
0.0000 0.0000 6.9271
Ca Fe Se
2 1 1
Direct
0.0000 0.0000 0.7416
0.0000 0.0000 0.2584
0.5000 0.5000 0.0000
0.5000 0.5000 0.5000
```

Results
**Spin magnetization**: 2.482 μB per formula unit
**E above lowest polymorph**: 0.0 meV per atom
**Raw formation energy**: -0.64 eV/atom